(1)
# Dy2HoTm5 (PBE, relaxed)
# Uncorrected energy = -139.79 eV for the cell shown
# Density of states at the Fermi level = 1.394 states/eV per atom
# Total magnetization = 0.000 μB/f.u.
# Offset from the most stable computed form = 0.125 eV per atom
data_Dy2HoTm5
_symmetry_space_group_name_H-M 'C 1 2/c 1'
_symmetry_Int_Tables_number 15
_cell_length_a 6.527
_cell_length_b 16.061
_cell_length_c 9.416
_cell_angle_alpha 90.00
_cell_angle_beta 95.50
_cell_angle_gamma 90.00
loop_
_symmetry_equiv_pos_as_xyz
'x,y,z'
'-x,-y,-z'
'-x,y,-z+1/2'
'x,-y,z+1/2'
'x+1/2,y+1/2,z'
'-x+1/2,-y+1/2,-z'
'-x+1/2,y+1/2,-z+1/2'
'x+1/2,-y+1/2,z+1/2'
loop_
_atom_site_label
_atom_site_type_symbol
_atom_site_fract_x
_atom_site_fract_y
_atom_site_fract_z
_atom_site_occupancy
Dy1 Dy 0.161 0.065 0.427 1
Ho1 Ho 0.000 0.457 0.250 1
Tm1 Tm 0.000 0.107 0.750 1
Tm2 Tm 0.167 0.352 0.945 1
Tm3 Tm 0.205 0.259 0.342 1

(2)
# Nd6Tl3I (PBE, relaxed)
# Uncorrected energy = -159.64 eV for the cell shown
# Energy relative to the elements, uncorrected = -0.27 eV per atom
# Density of states at the Fermi level = 1.167 states/eV per atom
# Total magnetization = 0.001 μB/f.u.
data_Nd6Tl3I
_symmetry_space_group_name_H-M 'C m c 21'
_symmetry_Int_Tables_number 36
_cell_length_a 12.090
_cell_length_b 14.032
_cell_length_c 7.709
_cell_angle_alpha 90.00
_cell_angle_beta 90.00
_cell_angle_gamma 90.00
loop_
_symmetry_equiv_pos_as_xyz
'x,y,z'
'-x,-y,z+1/2'
'-x,y,z'
'x,-y,z+1/2'
'x+1/2,y+1/2,z'
'-x+1/2,-y+1/2,z+1/2'
'-x+1/2,y+1/2,z'
'x+1/2,-y+1/2,z+1/2'
loop_
_atom_site_label
_atom_site_type_symbol
_atom_site_fract_x
_atom_site_fract_y
_atom_site_fract_z
_atom_site_occupancy
Nd1 Nd 0.000 0.007 0.000 1
Nd2 Nd 0.000 0.311 0.940 1
Nd3 Nd 0.151 0.327 0.454 1
Nd4 Nd 0.249 0.063 0.341 1
Tl1 Tl 0.000 0.499 0.676 1
Tl2 Tl 0.141 0.152 0.723 1
I1 I 0.000 0.174 0.259 1